Entry from Alexandria via LeMat-Bulk: a relaxed Ce2PaAs crystal (PBE).

a = 4.4786 Å, b = 4.5373 Å, c = 4.5373 Å
α = 90.00°, β = 90.00°, γ = 90.00°
Atoms (fractional coordinates):
As: 0.5000 0.0000 0.0000
Pa: 0.5000 0.5000 0.5000
Ce: 0.0000 0.0000 0.5000
Ce: 0.0000 0.5000 0.0000

Computed properties:
- SG = P4/mmm (123)
- energy above the lowest structure with this stoichiometry (kJ per mole of atoms) = 0.0
- calculated total energy (eV per atom) = -6.99

---

Entry from Alexandria via LeMat-Bulk: a relaxed Ce3PaAs4 crystal (PBE).

a = 4.1814 Å, b = 7.2468 Å, c = 7.2468 Å
α = 109.42°, β = 90.00°, γ = 90.00°
Atoms (fractional coordinates):
Ce: 0.0000 0.0000 0.5000
Ce: 0.5000 0.5000 0.5000
Ce: 0.0000 0.5000 0.0000
Pa: 0.5000 0.0000 0.0000
As: 0.0000 0.2426 0.2426
As: 0.5000 0.7542 0.2458
As: 0.0000 0.7574 0.7574
As: 0.5000 0.2458 0.7542

Computed properties:
- SG = Cmmm (65)
- energy above the lowest structure with this stoichiometry (kJ per mole of atoms) = 0.0
- calculated total energy (eV per atom) = -7.07